No. 1
## LiCrOs (PBE)

Data for a geometry-optimized LiCrOs structure.

## Properties
DFT total energy = -7.324 eV/atom
Energy relative to the lowest polymorph listed for this composition = 99.0 meV/atom
Size of the total moment = 0.8 Bohr magnetons per cell
Fermi-level density of states = 0.8249 states/eV per atom

Lattice parameters (Å, degrees): 4.7243 4.7243 4.7243 142.94 142.94 53.41
Site moments in Bohr magnetons follow the coordinates.
Atoms (fractional coordinates):
Cr 0.0093 0.0093 0.0000  0.91
Li 0.3335 0.3335 0.0000  0.00
Os 0.6571 0.6571 0.0000  -0.17

***

No. 2
## LiCrReOs (PBE)

Data for a geometry-optimized LiCrReOs structure.

## Properties
DFT total energy = -8.649 eV/atom
Size of the total moment = 2.1 Bohr magnetons per cell
Fermi-level density of states = 0.5050 states/eV per atom

Lattice parameters (Å, degrees): 4.2378 4.2378 4.2378 60.00 60.00 60.00
Site moments in Bohr magnetons follow the coordinates.
Atoms (fractional coordinates):
Re 0.2500 0.2500 0.2500  -0.38
Li 0.7500 0.7500 0.7500  0.00
Os 0.5000 0.5000 0.5000  0.18
Cr 0.0000 0.0000 0.0000  2.10

***

No. 3
## LiCr2OsRu (PBE)

Data for a geometry-optimized LiCr2OsRu structure.

## Properties
DFT total energy = -7.148 eV/atom
Size of the total moment = 5.8 Bohr magnetons per cell
Fermi-level density of states = 0.5646 states/eV per atom

Lattice parameters (Å, degrees): 4.7279 4.7006 4.7279 90.00 90.00 90.00
Site moments in Bohr magnetons follow the coordinates.
Atoms (fractional coordinates):
Ru 0.0000 0.5000 0.0000  -0.41
Li 0.5000 0.5000 0.5000  -0.01
Os 0.0000 0.0000 0.0000  -0.48
Cr 0.0000 0.0000 0.5000  2.89
Cr 0.5000 0.0000 0.0000  3.32

***

No. 4
## LiCrOs2Ru (PBE)

Data for a geometry-optimized LiCrOs2Ru structure.

## Properties
DFT total energy = -6.709 eV/atom
Size of the total moment = 0.1 Bohr magnetons per cell
Fermi-level density of states = 1.5614 states/eV per atom

Lattice parameters (Å, degrees): 4.6185 4.1820 4.6185 90.00 90.00 90.00
Site moments in Bohr magnetons follow the coordinates.
Atoms (fractional coordinates):
Ru 0.0000 0.0000 0.0000  0.01
Li 0.0000 0.5000 0.0000  0.00
Os 0.0000 0.0000 0.5000  0.09
Os 0.5000 0.0000 0.0000  0.01
Cr 0.5000 0.5000 0.5000  -0.06

***

No. 5
## Li2CrOsRu (PBE)

Data for a geometry-optimized Li2CrOsRu structure.

## Properties
DFT total energy = -5.238 eV/atom
Size of the total moment = 0.2 Bohr magnetons per cell
Fermi-level density of states = 1.8662 states/eV per atom

Lattice parameters (Å, degrees): 4.1607 4.6950 4.1607 90.00 90.00 90.00
Site moments in Bohr magnetons follow the coordinates.
Atoms (fractional coordinates):
Ru 0.0000 0.0000 0.0000  -0.03
Li 0.0000 0.0000 0.5000  -0.01
Li 0.5000 0.0000 0.0000  -0.01
Os 0.0000 0.5000 0.0000  0.02
Cr 0.5000 0.5000 0.5000  0.19

***

No. 6
## LiCr2SiOs (PBE)

Data for a geometry-optimized LiCr2SiOs structure.

## Properties
DFT total energy = -6.339 eV/atom
Formation energy without anion corrections = 118.0 kJ per mole of atoms
Size of the total moment = 5.3 Bohr magnetons per cell
Fermi-level density of states = 0.8146 states/eV per atom

Lattice parameters (Å, degrees): 4.5932 4.5597 4.5932 90.00 90.00 90.00
Site moments in Bohr magnetons follow the coordinates.
Atoms (fractional coordinates):
Cr 0.0000 0.0000 0.5000  2.47
Cr 0.5000 0.0000 0.0000  3.04
Si 0.5000 0.5000 0.5000  -0.10
Os 0.0000 0.0000 0.0000  -0.39
Li 0.0000 0.5000 0.0000  -0.01

***

No. 7
## SrLiCr2Os (PBE)

Data for a geometry-optimized SrLiCr2Os structure.

## Properties
DFT total energy = -5.622 eV/atom
Size of the total moment = 8.6 Bohr magnetons per cell
Fermi-level density of states = 0.9282 states/eV per atom

Lattice parameters (Å, degrees): 4.6484 4.5491 4.6484 90.00 90.00 90.00
Site moments in Bohr magnetons follow the coordinates.
Atoms (fractional coordinates):
Sr 0.5000 0.5000 0.5000  0.09
Li 0.0000 0.0000 0.0000  0.09
Os 0.0000 0.5000 0.0000  -0.32
Cr 0.0000 0.0000 0.5000  3.81
Cr 0.5000 0.0000 0.0000  3.67

***

No. 8
## LiCr2TeOs (PBE)

Data for a geometry-optimized LiCr2TeOs structure.

## Properties
DFT total energy = -6.285 eV/atom
Formation energy without anion corrections = 79.3 kJ per mole of atoms
Size of the total moment = 6.2 Bohr magnetons per cell
Fermi-level density of states = 0.8207 states/eV per atom

Lattice parameters (Å, degrees): 4.6735 4.7451 4.6735 90.00 90.00 90.00
Site moments in Bohr magnetons follow the coordinates.
Atoms (fractional coordinates):
Cr 0.0000 0.0000 0.5000  2.77
Cr 0.5000 0.0000 0.0000  3.34
Te 0.5000 0.5000 0.5000  -0.07
Os 0.0000 0.0000 0.0000  -0.51
Li 0.0000 0.5000 0.0000  0.01